Here is LaIn2Te at its PBEsol-relaxed geometry from Alexandria. Energies are from meta-GGA SCAN.

The space group is P4/mmm (No. 123) and the conventional cell measures 4.074, 4.074 and 6.636 Å, with angles of 90.00, 90.00 and 90.00 degrees. The distinct sites, in fractional coordinates, are La at (0.000, 0.000, 0.000), In at (0.500, 0.500, 0.268) and Te at (0.000, 0.000, 0.500).

As for the relative energy among the computed polymorphs: 257 meV per atom. The uncorrected formation energy comes out at -1.9 eV per formula unit.